Record 1
{"formula": "Cs2BeB", "functional": "PBE-GGA", "state": "optimized geometry", "formation_energy_mev_per_atom": 683, "magnetic_moment_mub_per_cell": 0.0, "energy_ev_per_cell": -18.761, "cell": [[13.405, 0.000, 0.000], [0.000, 13.405, 0.000], [6.702, 6.702, 1.874]], "species": ["B", "B", "Be", "Cs", "Be", "Cs", "Cs", "Cs"], "fractional_positions": [[0.750, 0.250, 0.500], [0.000, 0.000, 0.000], [0.250, 0.750, 0.500], [0.826, 0.625, 0.250], [0.500, 0.500, 0.000], [0.924, 0.125, 0.250], [0.875, 0.174, 0.750], [0.375, 0.076, 0.750]]}



Record 2
{"formula": "Cs3BeB", "functional": "PBE-GGA", "state": "optimized geometry", "formation_energy_mev_per_atom": 1302, "de_polymorph_mev_per_atom": 0.0, "magnetic_moment_mub_per_cell": 0.0, "energy_ev_per_cell": -6.453, "cell": [[6.489, 0.000, 0.000], [0.000, 6.489, 0.000], [0.000, 0.000, 6.489]], "species": ["Cs", "Cs", "Cs", "B", "Be"], "fractional_positions": [[0.500, 0.000, 0.000], [0.000, 0.000, 0.500], [0.000, 0.500, 0.000], [0.000, 0.000, 0.000], [0.500, 0.500, 0.500]]}



Record 3
{"formula": "CsBeB3", "functional": "PBE-GGA", "state": "optimized geometry", "formation_energy_mev_per_atom": 3747, "de_polymorph_mev_per_atom": 1732.5, "magnetic_moment_mub_per_cell": 0.0, "energy_ev_per_cell": -5.878, "cell": [[4.934, 0.000, 0.000], [0.000, 4.934, 0.000], [0.000, 0.000, 4.934]], "species": ["Be", "B", "Cs", "B", "B"], "fractional_positions": [[0.500, 0.500, 0.500], [0.000, 0.500, 0.000], [0.000, 0.000, 0.000], [0.500, 0.000, 0.000], [0.000, 0.000, 0.500]]}



Record 4
{"formula": "CsBeB3", "functional": "PBE-GGA", "state": "optimized geometry", "formation_energy_mev_per_atom": 2014, "de_polymorph_mev_per_atom": 0.0, "magnetic_moment_mub_per_cell": 0.0, "energy_ev_per_cell": -14.540, "cell": [[4.233, 0.000, 0.000], [0.000, 4.233, 0.000], [0.000, 0.000, 4.233]], "species": ["B", "B", "Be", "B", "Cs"], "fractional_positions": [[0.500, 0.000, 0.000], [0.000, 0.500, 0.000], [0.000, 0.000, 0.000], [0.000, 0.000, 0.500], [0.500, 0.500, 0.500]]}



Repeat the first record exactly.
{"formula": "Cs2BeB", "functional": "PBE-GGA", "state": "optimized geometry", "formation_energy_mev_per_atom": 683, "magnetic_moment_mub_per_cell": 0.0, "energy_ev_per_cell": -18.761, "cell": [[13.405, 0.000, 0.000], [0.000, 13.405, 0.000], [6.702, 6.702, 1.874]], "species": ["B", "B", "Be", "Cs", "Be", "Cs", "Cs", "Cs"], "fractional_positions": [[0.750, 0.250, 0.500], [0.000, 0.000, 0.000], [0.250, 0.750, 0.500], [0.826, 0.625, 0.250], [0.500, 0.500, 0.000], [0.924, 0.125, 0.250], [0.875, 0.174, 0.750], [0.375, 0.076, 0.750]]}